Below is a crystal of CrCo2Re relaxed with PBEsol, with properties calculated at the SCAN level.

Unit cell a=2.540 b=4.052 c=4.416 alpha=90.00 beta=90.00 gamma=90.00
Sites, in units of the cell vectors:
Cr (0.000, 0.000, 0.000)
Co (0.500, 0.000, 0.481)
Co (0.500, 0.500, 0.152)
Re (0.000, 0.500, 0.651)

Results
density of states at the Fermi level: 2.46 states/eV per cell
space group: Pmm2 (25)

=====

Below is a crystal of CrCo2Re relaxed with PBEsol, with properties calculated at the SCAN level.

Unit cell a=3.534 b=3.534 c=3.628 alpha=90.00 beta=90.00 gamma=90.00
Sites, in units of the cell vectors:
Cr (0.000, 0.000, 0.000)
Co (0.000, 0.500, 0.500)
Co (0.500, 0.000, 0.500)
Re (0.500, 0.500, 0.000)

Results
density of states at the Fermi level: 2.03 states/eV per cell
space group: P4/mmm (123)

=====

Below is a crystal of CrCo2Re relaxed with PBEsol, with properties calculated at the SCAN level.

Unit cell a=4.398 b=4.398 c=2.526 alpha=90.00 beta=90.00 gamma=110.84
Sites, in units of the cell vectors:
Cr (0.000, 0.000, 0.000)
Co (0.000, 0.500, 0.500)
Co (0.500, 0.000, 0.500)
Re (0.500, 0.500, 0.000)

Results
density of states at the Fermi level: 2.79 states/eV per cell
space group: Cmmm (65)

=====

Below is a crystal of CrCo6Re relaxed with PBEsol, with properties calculated at the SCAN level.

Unit cell a=6.047 b=6.047 c=9.877 alpha=90.00 beta=90.00 gamma=109.51
Sites, in units of the cell vectors:
Cr (0.000, 0.000, 0.245)
Cr (0.000, 0.000, 0.755)
Cr (0.252, 0.748, 0.000)
Cr (0.748, 0.252, 0.000)
Co (0.000, 0.000, 0.000)
Co (0.000, 0.000, 0.500)
Co (0.122, 0.373, 0.124)
Co (0.122, 0.373, 0.876)
Co (0.124, 0.373, 0.374)
Co (0.124, 0.373, 0.626)
Co (0.248, 0.752, 0.248)
Co (0.248, 0.752, 0.752)
Co (0.373, 0.122, 0.124)
Co (0.373, 0.122, 0.876)
Co (0.373, 0.124, 0.374)
Co (0.373, 0.124, 0.626)
Co (0.500, 0.500, 0.000)
Co (0.500, 0.500, 0.500)
Co (0.627, 0.876, 0.374)
Co (0.627, 0.876, 0.626)
Co (0.627, 0.878, 0.124)
Co (0.627, 0.878, 0.876)
Co (0.752, 0.248, 0.248)
Co (0.752, 0.248, 0.752)
Co (0.876, 0.627, 0.374)
Co (0.876, 0.627, 0.626)
Co (0.878, 0.627, 0.124)
Co (0.878, 0.627, 0.876)
Re (0.251, 0.749, 0.500)
Re (0.500, 0.500, 0.246)
Re (0.500, 0.500, 0.754)
Re (0.749, 0.251, 0.500)

Results
density of states at the Fermi level: 23.67 states/eV per cell
space group: Cmmm (65)

=====

Energy of formation from the pure elements values (in eV/atom) by entry order: 0.109 0.105 0.147 0.202.
Size of the total moment values (in μB/f.u.) by entry order: 0.1 0.7 0.6 1.1.